# 1
First-principles (PBE-GGA) data for a relaxed ZrPaRh4 crystal, as listed in Alexandria via LeMat-Bulk.

Summary:
electronic total energy = -8.449 eV/atom
DFT formation energy = -3.24 eV per formula unit
DOS at the Fermi energy = 19.69 states/eV/cell
magnetic moment = 0.000 μB per atom

abc: 4.0701 28.0949 3.9403
angles: 90.00 90.00 90.00
Space group Cmmm (No. 65)
One atom of each set of equivalent atoms:
Zr 0.0000 0.0639 0.0000 (multiplicity 4)
Pa 0.0000 0.3023 0.5000 (multiplicity 4)
Rh 0.0000 0.0000 0.5000 (multiplicity 2)
Rh 0.0000 0.1341 0.5000 (multiplicity 4)
Rh 0.0000 0.2122 0.0000 (multiplicity 4)
Rh 0.0000 0.3681 0.0000 (multiplicity 4)
Rh 0.0000 0.5000 0.0000 (multiplicity 2)

---

# 2
First-principles (PBE-GGA) data for a relaxed ZrPaRh crystal, as listed in Alexandria via LeMat-Bulk.

Summary:
electronic total energy = -8.707 eV/atom
DFT formation energy = -0.73 eV per formula unit
DOS at the Fermi energy = 3.46 states/eV/cell
magnetic moment = 0.000 μB per atom

abc: 4.7010 4.7010 3.1631
angles: 90.00 90.00 120.00
Space group P3m1 (No. 156)
One atom of each set of equivalent atoms:
Zr 0.0000 0.0000 0.0000 (multiplicity 1)
Pa 0.3333 0.6667 0.3477 (multiplicity 1)
Rh 0.6667 0.3333 0.5917 (multiplicity 1)

---

# 3
First-principles (PBE-GGA) data for a relaxed ZrPaRh crystal, as listed in Alexandria via LeMat-Bulk.

Summary:
electronic total energy = -8.875 eV/atom
DFT formation energy = -1.23 eV per formula unit
DOS at the Fermi energy = 6.22 states/eV/cell
magnetic moment = 0.000 μB per atom

abc: 3.5479 3.5479 10.1258
angles: 90.00 90.00 90.00
Space group I4mm (No. 107)
One atom of each set of equivalent atoms:
Zr 0.0000 0.0000 0.0000 (multiplicity 2)
Pa 0.0000 0.0000 0.6972 (multiplicity 2)
Rh 0.0000 0.0000 0.3183 (multiplicity 2)

---

# 4
First-principles (PBE-GGA) data for a relaxed ZrPaRh2 crystal, as listed in Alexandria via LeMat-Bulk.

Summary:
electronic total energy = -8.856 eV/atom
DFT formation energy = -2.68 eV per formula unit
DOS at the Fermi energy = 4.68 states/eV/cell
magnetic moment = 0.000 μB per atom

abc: 3.2383 3.2383 7.2612
angles: 90.00 90.00 90.00
Space group P4/mmm (No. 123)
One atom of each set of equivalent atoms:
Zr 0.0000 0.0000 0.0000 (multiplicity 1)
Pa 0.0000 0.0000 0.5000 (multiplicity 1)
Rh 0.5000 0.5000 0.2235 (multiplicity 2)

---

# 5
First-principles (PBE-GGA) data for a relaxed Zr2PaRh crystal, as listed in Alexandria via LeMat-Bulk.

Summary:
electronic total energy = -8.814 eV/atom
DFT formation energy = -1.31 eV per formula unit
DOS at the Fermi energy = 4.63 states/eV/cell
magnetic moment = 0.000 μB per atom

abc: 3.3287 3.3287 7.6532
angles: 90.00 90.00 90.00
Space group P4/mmm (No. 123)
One atom of each set of equivalent atoms:
Zr 0.0000 0.0000 0.2149 (multiplicity 2)
Pa 0.5000 0.5000 0.5000 (multiplicity 1)
Rh 0.5000 0.5000 0.0000 (multiplicity 1)

---

# 6
First-principles (PBE-GGA) data for a relaxed Pa2Ru crystal, as listed in Alexandria via LeMat-Bulk.

Summary:
electronic total energy = -9.696 eV/atom
DFT formation energy = -0.82 eV per formula unit
DOS at the Fermi energy = 10.90 states/eV/cell
magnetic moment = 0.000 μB per atom

abc: 3.6279 3.6279 9.5739
angles: 90.00 90.00 90.00
Space group I4/mmm (No. 139)
One atom of each set of equivalent atoms:
Pa 0.0000 0.0000 0.1552 (multiplicity 4)
Ru 0.0000 0.0000 0.5000 (multiplicity 2)

---

# 7
First-principles (PBE-GGA) data for a relaxed PaRu6 crystal, as listed in Alexandria via LeMat-Bulk.

Summary:
electronic total energy = -8.414 eV/atom
DFT formation energy = 6.25 eV per formula unit
DOS at the Fermi energy = 21.10 states/eV/cell
magnetic moment = 0.146 μB per atom

abc: 6.6678 6.6678 6.6678
angles: 90.00 90.00 90.00
Space group Im-3m (No. 229)
One atom of each set of equivalent atoms:
Pa 0.0000 0.0000 0.0000 (multiplicity 2)
Ru 0.0000 0.2500 0.5000 (multiplicity 12)

---

# 8
First-principles (PBE-GGA) data for a relaxed Pa3Ru crystal, as listed in Alexandria via LeMat-Bulk.

Summary:
electronic total energy = -9.704 eV/atom
DFT formation energy = -1.05 eV per formula unit
DOS at the Fermi energy = 9.29 states/eV/cell
magnetic moment = 0.000 μB per atom

abc: 3.4178 5.5098 9.3988
angles: 90.00 90.00 90.00
Space group Immm (No. 71)
One atom of each set of equivalent atoms:
Pa 0.0000 0.0000 0.0000 (multiplicity 2)
Pa 0.0000 0.5000 0.2319 (multiplicity 4)
Ru 0.0000 0.0000 0.5000 (multiplicity 2)

---

# 9
First-principles (PBE-GGA) data for a relaxed Pa3Ru crystal, as listed in Alexandria via LeMat-Bulk.

Summary:
electronic total energy = -9.407 eV/atom
DFT formation energy = 0.13 eV per formula unit
DOS at the Fermi energy = 15.06 states/eV/cell
magnetic moment = 0.000 μB per atom

abc: 3.8171 3.8171 13.5657
angles: 90.00 90.00 90.00
Space group I4/mmm (No. 139)
One atom of each set of equivalent atoms:
Pa 0.0000 0.0000 0.0000 (multiplicity 2)
Pa 0.0000 0.0000 0.2974 (multiplicity 4)
Ru 0.0000 0.0000 0.5000 (multiplicity 2)

---

# 10
First-principles (PBE-GGA) data for a relaxed Pa3Ru crystal, as listed in Alexandria via LeMat-Bulk.

Summary:
electronic total energy = -9.672 eV/atom
DFT formation energy = -0.92 eV per formula unit
DOS at the Fermi energy = 14.44 states/eV/cell
magnetic moment = 0.000 μB per atom

abc: 6.3913 3.4469 8.5039
angles: 90.00 100.66 90.00
Space group P2_1/m (No. 11)
One atom of each set of equivalent atoms:
Pa 0.0496 0.2500 0.3352 (multiplicity 2)
Pa 0.2165 0.2500 0.9481 (multiplicity 2)
Pa 0.3804 0.7500 0.6188 (multiplicity 2)
Ru 0.3405 0.7500 0.1980 (multiplicity 2)

---

# 11
First-principles (PBE-GGA) data for a relaxed PaRu5 crystal, as listed in Alexandria via LeMat-Bulk.

Summary:
electronic total energy = -9.478 eV/atom
DFT formation energy = -0.99 eV per formula unit
DOS at the Fermi energy = 15.68 states/eV/cell
magnetic moment = 0.000 μB per atom

abc: 3.9603 12.1939 3.9404
angles: 90.00 90.00 90.00
Space group Cmmm (No. 65)
One atom of each set of equivalent atoms:
Pa 0.0000 0.0000 0.0000 (multiplicity 2)
Ru 0.0000 0.1776 0.5000 (multiplicity 4)
Ru 0.0000 0.3190 0.0000 (multiplicity 4)
Ru 0.0000 0.5000 0.5000 (multiplicity 2)

---

# 12
First-principles (PBE-GGA) data for a relaxed Pa3Ru5 crystal, as listed in Alexandria via LeMat-Bulk.

Summary:
electronic total energy = -9.801 eV/atom
DFT formation energy = -3.54 eV per formula unit
DOS at the Fermi energy = 12.36 states/eV/cell
magnetic moment = 0.000 μB per atom

abc: 7.9178 9.3768 3.9582
angles: 90.00 90.00 90.00
Space group Cmmm (No. 65)
One atom of each set of equivalent atoms:
Pa 0.0000 0.0000 0.0000 (multiplicity 2)
Pa 0.0000 0.2961 0.5000 (multiplicity 4)
Ru 0.0000 0.5000 0.0000 (multiplicity 2)
Ru 0.2274 0.0000 0.5000 (multiplicity 4)
Ru 0.2500 0.2500 0.0000 (multiplicity 4)